The following is a DFT calculation (PBE-GGA) of a relaxed Li4CrSb crystal.

Output
crystal system	cubic
D(E_F)	5.06	states/eV/cell
E_tot	-3.521	eV per atom
ΔE_f (raw)	0.27	eV/f.u.

Cell: 7.3903 7.3903 7.3903 Å, 90.00 90.00 90.00°
Space group F-43m (No. 216)
Asymmetric unit:
Li1 0.1254 0.1254 0.1254
Cr1 0.0000 0.0000 0.5000
Sb1 0.2500 0.2500 0.7500

=====

The following is a DFT calculation (PBE-GGA) of a relaxed K3Tl5Hg2 crystal.

Output
crystal system	orthorhombic
D(E_F)	24.15	states/eV/cell
distance to the lowest polymorph of the same formula	0.030	eV/atom
E_tot	-1.650	eV per atom

Cell: 7.5201 26.5736 7.5106 Å, 90.00 90.00 90.00°
Space group Ibam (No. 72)
Asymmetric unit:
K1 0.0000 0.0000 0.2500
K2 0.2349 0.1418 0.0000
Tl1 0.0000 0.2587 0.2500
Tl2 0.0000 0.5000 0.2500
Tl3 0.1923 0.4196 0.0000
Hg1 0.2248 0.1894 0.5000

=====

The following is a DFT calculation (PBE-GGA) of a relaxed Pm6P2RhSe3 crystal.

Output
crystal system	monoclinic
D(E_F)	11.91	states/eV/cell
E_tot	-6.342	eV per atom
ΔE_f (raw)	-18.97	eV/f.u.

Cell: 18.2435 4.1334 8.4484 Å, 90.00 103.94 90.00°
Space group C2/m (No. 12)
Asymmetric unit:
Pm1 0.0040 0.0000 0.2407
Pm2 0.1618 0.5000 0.0940
Pm3 0.1712 0.5000 0.5737
P1 0.1667 0.0000 0.3353
Rh1 0.0000 0.5000 0.0000
Se1 0.0000 0.5000 0.5000
Se2 0.1686 0.0000 0.8328

=====

The following is a DFT calculation (PBE-GGA) of a relaxed CdMoW2 crystal.

Output
crystal system	orthorhombic
D(E_F)	4.84	states/eV/cell
E_tot	-9.101	eV per atom

Cell: 3.2170 4.5036 9.4030 Å, 90.00 90.00 90.00°
Space group Cmmm (No. 65)
Asymmetric unit:
Cd1 0.0000 0.0000 0.0000
Mo1 0.0000 0.0000 0.5000
W1 0.0000 0.5000 0.2661

=====

The following is a DFT calculation (PBE-GGA) of a relaxed BaGa2Au crystal.

Output
crystal system	trigonal
D(E_F)	10.05	states/eV/cell
E_tot	-3.307	eV per atom

Cell: 4.4788 4.4788 18.0580 Å, 90.00 90.00 120.00°
Space group R-3m (No. 166, hexagonal axes)
Asymmetric unit:
Ba1 0.0000 0.0000 0.0000
Ga1 0.0000 0.0000 0.2079
Au1 0.0000 0.0000 0.5000

=====

The following is a DFT calculation (PBE-GGA) of a relaxed BPIrO2 crystal.

Output
crystal system	tetragonal
D(E_F)	3.06	states/eV/cell
distance to the lowest polymorph of the same formula	0.000	eV/atom
E_tot	-6.245	eV per atom
ΔE_f (raw)	-0.36	eV/f.u.

Cell: 3.1658 3.1658 8.3197 Å, 90.00 90.00 90.00°
Space group P4/mmm (No. 123)
Asymmetric unit:
B1 0.0000 0.0000 0.0000
P1 0.0000 0.0000 0.5000
Ir1 0.5000 0.5000 0.5000
O1 0.0000 0.5000 0.0000